This record from Alexandria describes an optimized crystal structure of SmZn2Rh. The functional is PBE.

Values from the calculation:
ΔH_f (0 K): -0.3551 eV/atom

a = 4.677 Å, b = 4.677 Å, c = 4.677 Å
α = 60.00°, β = 60.00°, γ = 60.00°
Atoms (fractional coordinates):
Zn: 0.250 0.250 0.250
Zn: 0.750 0.750 0.750
Rh: 0.500 0.500 0.500
Sm: 0.000 0.000 0.000


This record from Alexandria describes an optimized crystal structure of Ba5PmSe6. The functional is PBE.

Values from the calculation:
formation energy from raw total energies: -1987 meV per atom

a = 7.995 Å, b = 8.008 Å, c = 8.001 Å
α = 59.97°, β = 80.36°, γ = 70.46°
Atoms (fractional coordinates):
Ba: 0.500 0.170 0.660
Ba: 0.000 0.334 0.332
Ba: 0.500 0.500 0.000
Ba: 0.000 0.666 0.668
Ba: 0.500 0.830 0.340
Pm: 0.000 0.000 0.000
Se: 0.765 0.078 0.311
Se: 0.235 0.610 0.311
Se: 0.238 0.230 0.000
Se: 0.762 0.770 0.000
Se: 0.765 0.390 0.689
Se: 0.235 0.922 0.689


This record from Alexandria describes an optimized crystal structure of Pm2HoZrP4. The functional is PBE.

Values from the calculation:
ΔH_f (0 K): -1.5226 eV/atom

a = 3.981 Å, b = 6.899 Å, c = 6.915 Å
α = 109.25°, β = 90.00°, γ = 90.00°
Atoms (fractional coordinates):
Pm: 0.500 0.000 0.500
Pm: 0.000 0.500 0.500
Ho: 0.500 0.500 0.000
Zr: 0.000 0.000 0.000
P: 0.500 0.237 0.231
P: 0.500 0.763 0.769
P: 0.000 0.247 0.765
P: 0.000 0.753 0.235


This record from Alexandria describes an optimized crystal structure of HgOF3. The functional is PBE.

Values from the calculation:
formation energy from raw total energies: -275 meV per atom
ΔE to the lowest computed polymorph: 0.107 eV per atom

a = 4.389 Å, b = 4.389 Å, c = 4.389 Å
α = 90.00°, β = 90.00°, γ = 90.00°
Each line ends with the local moment (μB).
Atoms (fractional coordinates):
Hg: 0.000 0.000 0.000  0.02
O: 0.500 0.500 0.500  1.71
F: 0.000 0.500 0.000  0.06
F: 0.000 0.000 0.500  0.08
F: 0.500 0.000 0.000  0.08


This record from Alexandria describes an optimized crystal structure of RbRhO3. The functional is PBE.

Values from the calculation:
formation energy from raw total energies: -894 meV per atom

a = 5.453 Å, b = 8.248 Å, c = 8.224 Å
α = 68.87°, β = 76.53°, γ = 76.57°
Atoms (fractional coordinates):
Rb: 0.249 0.114 0.886
Rb: 0.751 0.886 0.114
Rb: 0.251 0.645 0.354
Rb: 0.749 0.355 0.646
Rh: 0.016 0.338 0.173
Rh: 0.484 0.827 0.662
Rh: 0.984 0.662 0.827
Rh: 0.516 0.173 0.338
O: 0.878 0.119 0.226
O: 0.621 0.773 0.882
O: 0.122 0.881 0.774
O: 0.379 0.227 0.118
O: 0.951 0.412 0.923
O: 0.549 0.076 0.589
O: 0.049 0.588 0.077
O: 0.451 0.924 0.411
O: 0.662 0.385 0.299
O: 0.838 0.702 0.614
O: 0.338 0.615 0.701
O: 0.162 0.298 0.386


This record from Alexandria describes an optimized crystal structure of Hf6Pd5Au. The functional is PBE.

Values from the calculation:
ΔH_f (0 K): -0.4091 eV/atom

a = 7.567 Å, b = 6.249 Å, c = 6.061 Å
α = 58.97°, β = 83.37°, γ = 77.06°
Atoms (fractional coordinates):
Hf: 0.717 0.095 0.356
Hf: 0.283 0.549 0.356
Hf: 0.205 0.303 0.000
Hf: 0.795 0.697 0.000
Hf: 0.717 0.451 0.644
Hf: 0.283 0.905 0.644
Pd: 0.500 0.130 0.741
Pd: 0.000 0.295 0.411
Pd: 0.500 0.500 0.000
Pd: 0.000 0.705 0.589
Pd: 0.500 0.870 0.259
Au: 0.000 0.000 0.000


This record from Alexandria describes an optimized crystal structure of MnZn2Ir. The functional is PBE.

Values from the calculation:
ΔH_f (0 K): -0.0850 eV/atom

a = 4.662 Å, b = 4.662 Å, c = 4.547 Å
α = 78.59°, β = 78.59°, γ = 35.74°
Each line ends with the local moment (μB).
Atoms (fractional coordinates):
Ir: 0.503 0.503 0.486  0.11
Mn: 0.245 0.245 0.265  3.21
Zn: 0.997 0.997 0.993  -0.01
Zn: 0.755 0.755 0.756  -0.04


This record from Alexandria describes an optimized crystal structure of TlIn2Re. The functional is PBE.

Values from the calculation:
ΔH_f (0 K): 0.4533 eV/atom
ΔE to the lowest computed polymorph: 0.000 eV per atom

a = 7.553 Å, b = 7.553 Å, c = 7.553 Å
α = 157.88°, β = 142.82°, γ = 43.68°
Atoms (fractional coordinates):
In: 0.000 0.000 0.000
In: 0.680 0.180 0.500
Re: 0.505 0.505 0.000
Tl: 0.314 0.814 0.500